A geometry-optimized ZrMn2SnBr structure. Source: Alexandria via LeMat-Bulk, functional GGA-PBE.

Geometry as CIF:
```
data_ZrMn2SnBr
_space_group_name_H-M_alt 'P 4/m m m'
_space_group_IT_number 123
_space_group_name_Hall '-P 4 2'
_cell_length_a 4.297
_cell_length_b 4.297
_cell_length_c 5.529
_cell_angle_alpha 90.00
_cell_angle_beta 90.00
_cell_angle_gamma 90.00
loop_
_atom_site_label
_atom_site_fract_x
_atom_site_fract_y
_atom_site_fract_z
_atom_site_occupancy
Zr1 0.000 0.000 0.000 1
Mn1 0.000 0.500 0.500 1
Sn1 0.500 0.500 0.000 1
Br1 0.500 0.500 0.500 1
```

Summary:
Crystal system: tetragonal
Formation energy from raw total energies in eV/atom: 1.14
VASP energy in eV per formula unit: -26.88

***

A geometry-optimized Ba12Cu5Hg3 structure. Source: Alexandria via LeMat-Bulk, functional GGA-PBE.

Geometry as CIF:
```
data_Ba12Cu5Hg3
_space_group_name_H-M_alt 'I a -3 d'
_space_group_IT_number 230
_space_group_name_Hall '-I 4bd 2c 3'
_cell_length_a 19.605
_cell_length_b 19.605
_cell_length_c 19.605
_cell_angle_alpha 90.00
_cell_angle_beta 90.00
_cell_angle_gamma 90.00
loop_
_atom_site_label
_atom_site_fract_x
_atom_site_fract_y
_atom_site_fract_z
_atom_site_occupancy
Ba1 0.026 0.064 0.650 1
Cu1 0.000 0.000 0.000 1
Cu2 0.000 0.250 0.375 1
Hg1 0.000 0.250 0.125 1
```

Summary:
Crystal system: cubic
VASP energy in eV per formula unit: -44.15
Energy relative to the elements in eV/f.u.: 0.305

***

A geometry-optimized LuPaAgSn structure. Source: Alexandria via LeMat-Bulk, functional GGA-PBE.

Geometry as CIF:
```
data_LuPaAgSn
_space_group_name_H-M_alt 'F -4 3 m'
_space_group_IT_number 216
_space_group_name_Hall 'F -4 2 3'
_cell_length_a 7.366
_cell_length_b 7.366
_cell_length_c 7.366
_cell_angle_alpha 90.00
_cell_angle_beta 90.00
_cell_angle_gamma 90.00
loop_
_atom_site_label
_atom_site_fract_x
_atom_site_fract_y
_atom_site_fract_z
_atom_site_occupancy
Lu1 0.000 0.000 0.000 1
Pa1 0.000 0.000 0.500 1
Ag1 0.250 0.250 0.250 1
Sn1 0.250 0.250 0.750 1
```

Summary:
Crystal system: cubic
VASP energy in eV per formula unit: -21.22
Energy relative to the elements in eV/f.u.: -0.347

***

A geometry-optimized NaLaCuH structure. Source: Alexandria via LeMat-Bulk, functional GGA-PBE.

Geometry as CIF:
```
data_NaLaCuH
_space_group_name_H-M_alt 'I m m 2'
_space_group_IT_number 44
_cell_length_a 3.623
_cell_length_b 3.684
_cell_length_c 12.999
_cell_angle_alpha 90.00
_cell_angle_beta 90.00
_cell_angle_gamma 90.00
loop_
_space_group_symop_operation_xyz
'x,y,z'
'-x,-y,z'
'-x,y,z'
'x,-y,z'
'x+1/2,y+1/2,z+1/2'
'-x+1/2,-y+1/2,z+1/2'
'-x+1/2,y+1/2,z+1/2'
'x+1/2,-y+1/2,z+1/2'
loop_
_atom_site_label
_atom_site_fract_x
_atom_site_fract_y
_atom_site_fract_z
_atom_site_occupancy
Na1 0.000 0.000 0.000 1
La1 0.000 0.000 0.724 1
Cu1 0.000 0.000 0.350 1
H1 0.000 0.500 0.615 1
```

Summary:
Crystal system: orthorhombic
VASP energy in eV per formula unit: -13.76

***

A geometry-optimized PmPuCoPd structure. Source: Alexandria via LeMat-Bulk, functional GGA-PBE.

Geometry as CIF:
```
data_PmPuCoPd
_space_group_name_H-M_alt 'F -4 3 m'
_space_group_IT_number 216
_space_group_name_Hall 'F -4 2 3'
_cell_length_a 6.963
_cell_length_b 6.963
_cell_length_c 6.963
_cell_angle_alpha 90.00
_cell_angle_beta 90.00
_cell_angle_gamma 90.00
loop_
_atom_site_label
_atom_site_fract_x
_atom_site_fract_y
_atom_site_fract_z
_atom_site_occupancy
Pm1 0.000 0.000 0.000 1
Pu1 0.000 0.000 0.500 1
Co1 0.250 0.250 0.750 1
Pd1 0.250 0.250 0.250 1
```

Summary:
Crystal system: cubic
VASP energy in eV per formula unit: -32.19
Energy relative to the elements in eV/f.u.: -0.810

***

A geometry-optimized BaY2Mo structure. Source: Alexandria via LeMat-Bulk, functional GGA-PBE.

Geometry as CIF:
```
data_BaY2Mo
_space_group_name_H-M_alt 'I m m 2'
_space_group_IT_number 44
_cell_length_a 3.499
_cell_length_b 4.979
_cell_length_c 15.716
_cell_angle_alpha 90.00
_cell_angle_beta 90.00
_cell_angle_gamma 90.00
loop_
_space_group_symop_operation_xyz
'x,y,z'
'-x,-y,z'
'-x,y,z'
'x,-y,z'
'x+1/2,y+1/2,z+1/2'
'-x+1/2,-y+1/2,z+1/2'
'-x+1/2,y+1/2,z+1/2'
'x+1/2,-y+1/2,z+1/2'
loop_
_atom_site_label
_atom_site_fract_x
_atom_site_fract_y
_atom_site_fract_z
_atom_site_occupancy
Ba1 0.000 0.000 0.000 1
Y1 0.000 0.000 0.332 1
Y2 0.000 0.500 0.184 1
Mo1 0.000 0.500 0.688 1
```

Summary:
Crystal system: orthorhombic
VASP energy in eV per formula unit: -23.31
Energy relative to the elements in eV/f.u.: 2.377

***

A geometry-optimized Sb7Ru structure. Source: Alexandria via LeMat-Bulk, functional GGA-PBE.

Geometry as CIF:
```
data_Sb7Ru
_space_group_name_H-M_alt 'F m -3 m'
_space_group_IT_number 225
_space_group_name_Hall '-F 4 2 3'
_cell_length_a 9.288
_cell_length_b 9.288
_cell_length_c 9.288
_cell_angle_alpha 90.00
_cell_angle_beta 90.00
_cell_angle_gamma 90.00
loop_
_atom_site_label
_atom_site_fract_x
_atom_site_fract_y
_atom_site_fract_z
_atom_site_occupancy
Sb1 0.000 0.000 0.000 1
Sb2 0.000 0.250 0.250 1
Ru1 0.000 0.000 0.500 1
```

Summary:
Crystal system: cubic
Formation energy from raw total energies in eV/atom: 0.48
VASP energy in eV per formula unit: -34.31

***

A geometry-optimized Ca3Cr structure. Source: Alexandria via LeMat-Bulk, functional GGA-PBE.

Geometry as CIF:
```
data_Ca3Cr
_space_group_name_H-M_alt 'I m m m'
_space_group_IT_number 71
_space_group_name_Hall '-I 2 2'
_cell_length_a 4.145
_cell_length_b 5.784
_cell_length_c 11.263
_cell_angle_alpha 90.00
_cell_angle_beta 90.00
_cell_angle_gamma 90.00
loop_
_atom_site_label
_atom_site_fract_x
_atom_site_fract_y
_atom_site_fract_z
_atom_site_occupancy
Ca1 0.000 0.000 0.000 1
Ca2 0.000 0.500 0.217 1
Cr1 0.000 0.000 0.500 1
```

Summary:
Crystal system: orthorhombic
VASP energy in eV per formula unit: -14.13
Energy relative to the elements in eV/f.u.: 1.500

***

A geometry-optimized Zn2CdSeO6 structure. Source: Alexandria via LeMat-Bulk, functional GGA-PBE.

Geometry as CIF:
```
data_Zn2CdSeO6
_space_group_name_H-M_alt 'C 1 2/c 1'
_space_group_IT_number 15
_cell_length_a 9.430
_cell_length_b 9.344
_cell_length_c 5.494
_cell_angle_alpha 90.00
_cell_angle_beta 95.05
_cell_angle_gamma 90.00
loop_
_space_group_symop_operation_xyz
'x,y,z'
'-x,-y,-z'
'-x,y,-z+1/2'
'x,-y,z+1/2'
'x+1/2,y+1/2,z'
'-x+1/2,-y+1/2,-z'
'-x+1/2,y+1/2,-z+1/2'
'x+1/2,-y+1/2,z+1/2'
loop_
_atom_site_label
_atom_site_fract_x
_atom_site_fract_y
_atom_site_fract_z
_atom_site_occupancy
Zn1 0.173 0.098 0.293 1
Cd1 0.000 0.417 0.250 1
Se1 0.000 0.227 0.750 1
O1 0.099 0.237 0.046 1
O2 0.117 0.377 0.642 1
O3 0.124 0.093 0.641 1
```

Summary:
Crystal system: monoclinic
Formation energy from raw total energies in eV/atom: -0.97
VASP energy in eV per formula unit: -46.36

***

A geometry-optimized Al2NiSn structure. Source: Alexandria via LeMat-Bulk, functional GGA-PBE.

Geometry as CIF:
```
data_Al2NiSn
_space_group_name_H-M_alt 'I -4 2 d'
_space_group_IT_number 122
_space_group_name_Hall 'I -4 2bw'
_cell_length_a 4.242
_cell_length_b 4.242
_cell_length_c 16.824
_cell_angle_alpha 90.00
_cell_angle_beta 90.00
_cell_angle_gamma 90.00
loop_
_atom_site_label
_atom_site_fract_x
_atom_site_fract_y
_atom_site_fract_z
_atom_site_occupancy
Al1 0.182 0.250 0.125 1
Ni1 0.000 0.000 0.000 1
Sn1 0.000 0.000 0.500 1
```

Summary:
Crystal system: tetragonal
VASP energy in eV per formula unit: -17.07
Energy relative to the elements in eV/f.u.: 0.197

***

A geometry-optimized K4Dy3AlTe8 structure. Source: Alexandria via LeMat-Bulk, functional GGA-PBE.

Geometry as CIF:
```
data_K4Dy3AlTe8
_space_group_name_H-M_alt 'R -3 m'
_space_group_IT_number 166
_space_group_name_Hall '-R 3 2"'
_cell_length_a 8.8725
_cell_length_b 8.8725
_cell_length_c 24.7031
_cell_angle_alpha 90.00
_cell_angle_beta 90.00
_cell_angle_gamma 120.00
loop_
_atom_site_label
_atom_site_fract_x
_atom_site_fract_y
_atom_site_fract_z
_atom_site_occupancy
K1 0.0000 0.0000 0.0000 1
K2 0.0000 0.5000 0.0000 1
Dy1 0.0000 0.5000 0.5000 1
Al1 0.0000 0.0000 0.5000 1
Te1 0.0000 0.0000 0.2368 1
Te2 0.0193 0.5097 0.2331 1
```

Summary:
Crystal system: trigonal
Formation energy from raw total energies in eV/atom: -1.18
VASP energy in eV per formula unit: -66.01

***

A geometry-optimized Cs2In5Ga4 structure. Source: Alexandria via LeMat-Bulk, functional GGA-PBE.

Geometry as CIF:
```
data_Cs2In5Ga4
_space_group_name_H-M_alt 'C 1 2/m 1'
_space_group_IT_number 12
_cell_length_a 14.005
_cell_length_b 6.826
_cell_length_c 9.217
_cell_angle_alpha 90.00
_cell_angle_beta 127.19
_cell_angle_gamma 90.00
loop_
_space_group_symop_operation_xyz
'x,y,z'
'-x,-y,-z'
'-x,y,-z'
'x,-y,z'
'x+1/2,y+1/2,z'
'-x+1/2,-y+1/2,-z'
'-x+1/2,y+1/2,-z'
'x+1/2,-y+1/2,z'
loop_
_atom_site_label
_atom_site_fract_x
_atom_site_fract_y
_atom_site_fract_z
_atom_site_occupancy
Cs1 0.204 0.000 0.145 1
In1 0.000 0.500 0.000 1
In2 0.039 0.270 0.357 1
Ga1 0.130 0.000 0.695 1
Ga2 0.231 0.500 0.399 1
```

Summary:
Crystal system: monoclinic
VASP energy in eV per formula unit: -27.76
Energy relative to the elements in eV/f.u.: -0.256